Crystalline Na3H2F6 at its relaxed geometry. Source: Alexandria via LeMat-Bulk, functional GGA-PBE.

Unit cell a=3.8150 b=3.8150 c=9.1979 alpha=101.97 beta=101.97 gamma=90.00
Closest atoms and distances in Å follow each position.
Sites, in units of the cell vectors:
H  0.3530  0.3530  0.7060  1 F 0.97
H  0.6470  0.6470  0.2940  1 F 0.97
F  0.5917  0.0917  0.1834  2 H 2.14, 2 Na 2.28
F  0.9083  0.4083  0.8166  2 H 2.14, 2 Na 2.28
F  0.7024  0.7024  0.4049  1 H 0.97
F  0.4083  0.9083  0.8166  2 H 2.14, 2 Na 2.28
F  0.2976  0.2976  0.5951  1 H 0.97
F  0.0917  0.5917  0.1834  2 H 2.14, 2 Na 2.28
Na  0.8368  0.8368  0.6736  5 F 2.28-2.36
Na  0.0000  0.0000  0.0000  8 F 2.50
Na  0.1632  0.1632  0.3264  5 F 2.28-2.36

Output
**Total moment**: 1.007 μB/f.u.
**Space group**: No. 139
**ρ**: 2400 kg/m3
**D(E_F)**: 4.9 states/eV/f.u.
**VASP energy**: -3.94 eV/atom